Here is ZrIN after structural relaxation from the Alexandria database. Energies are from GGA-PBEsol.

The total energy is -47.827 eV for the cell shown. As for the crystal system: trigonal. For the energy relative to the elements, uncorrected, the calculation gives -1510 meV/atom.

Cell: 10.8118 10.8118 10.8118 Å, 19.68 19.68 19.68°
Atoms (fractional coordinates):
Zr1 0.2066 0.2066 0.2066
Zr2 0.7934 0.7934 0.7934
I1 0.3913 0.3913 0.3913
I2 0.6087 0.6087 0.6087
N1 0.1392 0.1392 0.1392
N2 0.8608 0.8608 0.8608